First-principles (GGA-PBEsol) data for a relaxed structure of ZnSnO3, as listed in Alexandria.

- Energy: -5.84 eV/atom
- Space group: Pnma

Unit cell a=5.3206 b=7.8281 c=5.3149 alpha=90.00 beta=90.00 gamma=90.00
Atoms (fractional coordinates):
Zn 0.0297 0.2500 0.0086
Zn 0.4703 0.7500 0.5086
Zn 0.5297 0.2500 0.4914
Zn 0.9703 0.7500 0.9914
Sn 0.0000 0.0000 0.5000
Sn 0.0000 0.5000 0.5000
Sn 0.5000 0.0000 0.0000
Sn 0.5000 0.5000 0.0000
O 0.0957 0.7500 0.6269
O 0.1713 0.5707 0.1674
O 0.1713 0.9293 0.1674
O 0.3287 0.0707 0.6674
O 0.3287 0.4293 0.6674
O 0.4043 0.2500 0.1269
O 0.5957 0.7500 0.8731
O 0.6713 0.5707 0.3326
O 0.6713 0.9293 0.3326
O 0.8287 0.0707 0.8326
O 0.8287 0.4293 0.8326
O 0.9043 0.2500 0.3731

First-principles (GGA-PBEsol) data for a relaxed structure of TaGa2Ni, as listed in Alexandria.

- Energy: -6.33 eV/atom
- Formation enthalpy at 0 K: 0.015 eV/atom
- Space group: Fm-3m

Unit cell a=6.1120 b=6.1120 c=6.1120 alpha=90.00 beta=90.00 gamma=90.00
Atoms (fractional coordinates):
Ta 0.0000 0.0000 0.0000
Ta 0.0000 0.5000 0.5000
Ta 0.5000 0.0000 0.5000
Ta 0.5000 0.5000 0.0000
Ga 0.2500 0.2500 0.2500
Ga 0.2500 0.2500 0.7500
Ga 0.2500 0.7500 0.2500
Ga 0.2500 0.7500 0.7500
Ga 0.7500 0.2500 0.2500
Ga 0.7500 0.2500 0.7500
Ga 0.7500 0.7500 0.2500
Ga 0.7500 0.7500 0.7500
Ni 0.0000 0.0000 0.5000
Ni 0.0000 0.5000 0.0000
Ni 0.5000 0.0000 0.0000
Ni 0.5000 0.5000 0.5000

First-principles (GGA-PBEsol) data for a relaxed structure of AgPdPt3, as listed in Alexandria.

- Energy: -4.49 eV/atom
- Formation enthalpy at 0 K: 1.538 eV/atom
- Space group: Pm-3m

Unit cell a=4.7410 b=4.7410 c=4.7410 alpha=90.00 beta=90.00 gamma=90.00
Atoms (fractional coordinates):
Ag 0.0000 0.0000 0.0000
Pd 0.5000 0.5000 0.5000
Pt 0.0000 0.5000 0.5000
Pt 0.5000 0.0000 0.5000
Pt 0.5000 0.5000 0.0000

First-principles (GGA-PBEsol) data for a relaxed structure of HgMo3I, as listed in Alexandria.

- Energy: -4.85 eV/atom
- Space group: Pm-3m

Unit cell a=4.9764 b=4.9764 c=4.9764 alpha=90.00 beta=90.00 gamma=90.00
Atoms (fractional coordinates):
Hg 0.0000 0.0000 0.0000
Mo 0.0000 0.0000 0.5000
Mo 0.0000 0.5000 0.0000
Mo 0.5000 0.0000 0.0000
I 0.5000 0.5000 0.5000

Values for spin magnetization, μB/atom, ordered as above
0.000 0.001 0.046 0.842